Computed, not measured: crystalline La7Ni16 at its relaxed geometry at the GGA-PBE level of DFT.

- space-group type = I-42m (121)
- ΔE_f (kJ/mol of atoms) = -34.6

abc: 7.318 7.318 8.863
angles: 114.38 114.38 90.00
Fractional positions:
Ni1 0.068 0.304 0.372
Ni2 0.304 0.068 0.372
Ni3 0.559 0.839 0.397
Ni4 0.818 0.567 0.868
Ni5 0.950 0.433 0.132
Ni6 0.161 0.161 0.603
Ni7 0.050 0.302 0.868
Ni8 0.182 0.698 0.132
Ni9 0.433 0.950 0.132
Ni10 0.441 0.441 0.603
Ni11 0.932 0.932 0.628
Ni12 0.698 0.182 0.132
Ni13 0.302 0.050 0.868
Ni14 0.839 0.559 0.397
Ni15 0.567 0.818 0.868
Ni16 0.696 0.696 0.628
La1 0.250 0.750 0.500
La2 0.593 0.202 0.795
La3 0.202 0.593 0.795
La4 0.750 0.250 0.500
La5 0.798 0.798 0.205
La6 0.000 0.000 0.000
La7 0.407 0.407 0.205

***

Computed, not measured: crystalline LaNiOs at its relaxed geometry at the GGA-PBE level of DFT.

- space-group type = Imma (74)
- ΔE_f (kJ/mol of atoms) = -22.4

abc: 5.396 5.396 5.396
angles: 123.62 119.21 87.61
Fractional positions:
Ni1 0.000 0.000 0.000
Ni2 0.500 0.000 0.500
Os1 0.000 0.000 0.500
Os2 0.000 0.500 0.000
La1 0.371 0.621 0.750
La2 0.629 0.379 0.250

***

Computed, not measured: crystalline LaSi2NiOs at its relaxed geometry at the GGA-PBE level of DFT.

- space-group type = I-4m2 (119)
- final energy (eV/cell) = -36.2

abc: 5.927 5.927 5.927
angles: 139.82 139.82 58.12
Fractional positions:
Si1 0.369 0.369 0.000
Si2 0.631 0.631 0.000
La1 0.000 0.000 0.000
Ni1 0.750 0.250 0.500
Os1 0.250 0.750 0.500

***

Computed, not measured: crystalline LaNi4P2 at its relaxed geometry at the GGA-PBE level of DFT.

- space-group type = P4_2/mnm (136)
- final energy (eV/cell) = -86.4

abc: 7.284 7.284 3.624
angles: 90.00 90.00 90.00
Fractional positions:
La1 0.000 0.000 0.000
La2 0.500 0.500 0.500
Ni1 0.341 0.913 0.500
Ni2 0.587 0.841 0.000
Ni3 0.087 0.659 0.500
Ni4 0.913 0.341 0.500
Ni5 0.659 0.087 0.500
Ni6 0.159 0.413 0.000
Ni7 0.841 0.587 0.000
Ni8 0.413 0.159 0.000
P1 0.778 0.778 0.500
P2 0.278 0.722 0.000
P3 0.722 0.278 0.000
P4 0.222 0.222 0.500

***

Computed, not measured: crystalline La2Ni12P5 at its relaxed geometry at the GGA-PBE level of DFT.

- space-group type = P2_1/m (11)
- final energy (eV/cell) = -234.1

abc: 10.910 3.684 13.138
angles: 90.00 107.92 90.00
Fractional positions:
Ni1 0.202 0.250 0.418
Ni2 0.565 0.750 0.052
Ni3 0.572 0.750 0.485
Ni4 0.435 0.250 0.948
Ni5 0.081 0.750 0.490
Ni6 0.213 0.250 0.938
Ni7 0.094 0.750 0.805
Ni8 0.506 0.250 0.159
Ni9 0.656 0.250 0.635
Ni10 0.938 0.250 0.703
Ni11 0.511 0.250 0.349
Ni12 0.798 0.750 0.582
Ni13 0.078 0.750 0.990
Ni14 0.906 0.250 0.195
Ni15 0.922 0.250 0.010
Ni16 0.919 0.250 0.510
Ni17 0.489 0.750 0.651
Ni18 0.344 0.750 0.365
Ni19 0.428 0.250 0.515
Ni20 0.657 0.250 0.939
Ni21 0.787 0.750 0.062
Ni22 0.062 0.750 0.297
Ni23 0.494 0.750 0.841
Ni24 0.343 0.750 0.061
P1 0.548 0.250 0.759
P2 0.300 0.750 0.516
P3 0.311 0.750 0.888
P4 0.992 0.750 0.121
P5 0.992 0.250 0.371
P6 0.008 0.250 0.879
P7 0.700 0.250 0.484
P8 0.452 0.750 0.241
P9 0.689 0.250 0.112
P10 0.008 0.750 0.629
La1 0.221 0.250 0.183
La2 0.252 0.250 0.688
La3 0.748 0.750 0.312
La4 0.779 0.750 0.817

***

Computed, not measured: crystalline LaNi5P3 at its relaxed geometry at the GGA-PBE level of DFT.

- space-group type = Cmcm (63)
- final energy (eV/cell) = -112.8

abc: 3.634 6.126 11.481
angles: 90.00 90.00 72.74
Fractional positions:
Ni1 0.302 0.397 0.068
Ni2 0.051 0.898 0.855
Ni3 0.698 0.603 0.932
Ni4 0.051 0.898 0.645
Ni5 0.500 0.000 0.000
Ni6 0.949 0.102 0.145
Ni7 0.302 0.397 0.432
Ni8 0.949 0.102 0.355
Ni9 0.698 0.603 0.568
Ni10 0.500 0.000 0.500
P1 0.118 0.764 0.460
P2 0.384 0.232 0.250
P3 0.882 0.236 0.960
P4 0.882 0.236 0.540
P5 0.118 0.764 0.040
P6 0.616 0.768 0.750
La1 0.337 0.326 0.750
La2 0.663 0.674 0.250